[1]
Computed, not measured: an optimized crystal structure of NaNd2AlSe5 at the GGA-PBE level of DFT.

Summary:
The total magnetic moment is 0.0 Bohr magnetons per cell. The formation energy without anion corrections comes out at -1476 meV/atom. The calculation puts the raw total energy at -5.034 eV/atom.

Structure (CIF):
```
data_NaNd2AlSe5
_cell_length_a 4.054
_cell_length_b 18.272
_cell_length_c 12.182
_cell_angle_alpha 90.00
_cell_angle_beta 90.00
_cell_angle_gamma 90.00
_symmetry_space_group_name_H-M 'C m c 21'
_symmetry_Int_Tables_number 36
_symmetry_space_group_name_Hall 'C 2c -2'
loop_
_atom_site_label
_atom_site_type_symbol
_atom_site_fract_x
_atom_site_fract_y
_atom_site_fract_z
Na1 Na 0.000 0.208 0.000
Nd1 Nd 0.000 0.116 0.666
Nd2 Nd 0.000 0.133 0.294
Al1 Al 0.000 0.440 0.429
Se1 Se 0.000 0.042 0.040
Se2 Se 0.000 0.289 0.670
Se3 Se 0.000 0.325 0.333
Se4 Se 0.000 0.363 0.986
Se5 Se 0.000 0.494 0.758
```



[2]
Computed, not measured: an optimized crystal structure of Li3MnN at the GGA-PBE level of DFT.

Summary:
The calculation puts the offset from the most stable computed form at 1353 meV per atom. The total magnetic moment is 5.0 Bohr magnetons per cell. The formation energy without anion corrections comes out at 1566 meV/atom. The calculation puts the raw total energy at -3.081 eV/atom.

Structure (CIF):
```
data_Li3MnN
_cell_length_a 4.704
_cell_length_b 4.704
_cell_length_c 4.704
_cell_angle_alpha 90.00
_cell_angle_beta 90.00
_cell_angle_gamma 90.00
_symmetry_space_group_name_H-M 'P m -3 m'
_symmetry_Int_Tables_number 221
_symmetry_space_group_name_Hall '-P 4 2 3'
loop_
_atom_site_label
_atom_site_type_symbol
_atom_site_fract_x
_atom_site_fract_y
_atom_site_fract_z
Li1 Li 0.000 0.000 0.500
Mn1 Mn 0.000 0.000 0.000
N1 N 0.500 0.500 0.500
```



[3]
Computed, not measured: an optimized crystal structure of TmMnFeSi2 at the GGA-PBE level of DFT.

Summary:
The total magnetic moment is 5.7 Bohr magnetons per cell. The formation energy without anion corrections comes out at -656 meV/atom. The calculation puts the raw total energy at -7.246 eV/atom.

Structure (CIF):
```
data_TmMnFeSi2
_cell_length_a 3.859
_cell_length_b 3.859
_cell_length_c 10.090
_cell_angle_alpha 90.00
_cell_angle_beta 90.00
_cell_angle_gamma 90.00
_symmetry_space_group_name_H-M 'I -4 m 2'
_symmetry_Int_Tables_number 119
_symmetry_space_group_name_Hall 'I -4 -2'
loop_
_atom_site_label
_atom_site_type_symbol
_atom_site_fract_x
_atom_site_fract_y
_atom_site_fract_z
Tm1 Tm 0.000 0.000 0.000
Mn1 Mn 0.000 0.500 0.750
Fe1 Fe 0.000 0.500 0.250
Si1 Si 0.000 0.000 0.379
```



[4]
Computed, not measured: an optimized crystal structure of PmPuAs4 at the GGA-PBE level of DFT.

Summary:
The total magnetic moment is 24.9 Bohr magnetons per cell. The calculation puts the energy relative to the elements at -2.30 eV/f.u. The calculation puts the raw total energy at -6.664 eV/atom.

Structure (CIF):
```
data_PmPuAs4
_cell_length_a 8.081
_cell_length_b 8.081
_cell_length_c 8.081
_cell_angle_alpha 90.00
_cell_angle_beta 90.00
_cell_angle_gamma 90.00
_symmetry_space_group_name_H-M 'F -4 3 m'
_symmetry_Int_Tables_number 216
_symmetry_space_group_name_Hall 'F -4 2 3'
loop_
_atom_site_label
_atom_site_type_symbol
_atom_site_fract_x
_atom_site_fract_y
_atom_site_fract_z
Pm1 Pm 0.000 0.000 0.000
Pu1 Pu 0.250 0.250 0.750
As1 As 0.125 0.125 0.375
```



[5]
Computed, not measured: an optimized crystal structure of ReSbCl2 at the GGA-PBE level of DFT.

Summary:
The calculation puts the offset from the most stable computed form at 733 meV per atom. The total magnetic moment is 2.4 Bohr magnetons per cell. The formation energy without anion corrections comes out at 739 meV/atom. The calculation puts the raw total energy at -4.327 eV/atom.

Structure (CIF):
```
data_ReSbCl2
_cell_length_a 3.072
_cell_length_b 4.693
_cell_length_c 5.478
_cell_angle_alpha 90.00
_cell_angle_beta 90.00
_cell_angle_gamma 90.00
_symmetry_space_group_name_H-M 'P m m m'
_symmetry_Int_Tables_number 47
_symmetry_space_group_name_Hall '-P 2 2'
loop_
_atom_site_label
_atom_site_type_symbol
_atom_site_fract_x
_atom_site_fract_y
_atom_site_fract_z
Re1 Re 0.000 0.000 0.000
Sb1 Sb 0.500 0.000 0.500
Cl1 Cl 0.000 0.500 0.500
Cl2 Cl 0.500 0.500 0.000
```



[6]
Computed, not measured: an optimized crystal structure of HfNp4Ga12 at the GGA-PBE level of DFT.

Summary:
The total magnetic moment is 31.5 Bohr magnetons per cell. The calculation puts the energy relative to the elements at -3.12 eV/f.u. The calculation puts the raw total energy at -5.950 eV/atom.

Structure (CIF):
```
data_HfNp4Ga12
_cell_length_a 8.723
_cell_length_b 8.723
_cell_length_c 8.723
_cell_angle_alpha 90.00
_cell_angle_beta 90.00
_cell_angle_gamma 90.00
_symmetry_space_group_name_H-M 'I m -3 m'
_symmetry_Int_Tables_number 229
_symmetry_space_group_name_Hall '-I 4 2 3'
loop_
_atom_site_label
_atom_site_type_symbol
_atom_site_fract_x
_atom_site_fract_y
_atom_site_fract_z
Hf1 Hf 0.000 0.000 0.000
Np1 Np 0.250 0.250 0.250
Ga1 Ga 0.000 0.000 0.305
Ga2 Ga 0.000 0.250 0.500
```



[7]
Computed, not measured: an optimized crystal structure of Tb3Ge3Ru2 at the GGA-PBE level of DFT.

Summary:
The calculation puts the offset from the most stable computed form at 48 meV per atom. The total magnetic moment is 0.0 Bohr magnetons per cell. The calculation puts the energy relative to the elements at -5.79 eV/f.u. The calculation puts the raw total energy at -6.510 eV/atom.

Structure (CIF):
```
data_Tb3Ge3Ru2
_cell_length_a 8.101
_cell_length_b 14.277
_cell_length_c 5.768
_cell_angle_alpha 90.00
_cell_angle_beta 90.00
_cell_angle_gamma 90.00
_symmetry_space_group_name_H-M 'P n m a'
_symmetry_Int_Tables_number 62
_symmetry_space_group_name_Hall '-P 2ac 2n'
loop_
_atom_site_label
_atom_site_type_symbol
_atom_site_fract_x
_atom_site_fract_y
_atom_site_fract_z
Tb1 Tb 0.042 0.113 0.119
Tb2 Tb 0.181 0.250 0.632
Ge1 Ge 0.164 0.750 0.604
Ge2 Ge 0.199 0.040 0.633
Ru1 Ru 0.084 0.592 0.395
```



[8]
Computed, not measured: an optimized crystal structure of Y2NiCl at the GGA-PBE level of DFT.

Summary:
The calculation puts the offset from the most stable computed form at 422 meV per atom. The total magnetic moment is 0.0 Bohr magnetons per cell. The formation energy without anion corrections comes out at -489 meV/atom. The calculation puts the raw total energy at -5.628 eV/atom.

Structure (CIF):
```
data_Y2NiCl
_cell_length_a 3.867
_cell_length_b 3.867
_cell_length_c 12.126
_cell_angle_alpha 90.00
_cell_angle_beta 90.00
_cell_angle_gamma 90.00
_symmetry_space_group_name_H-M 'I -4 m 2'
_symmetry_Int_Tables_number 119
_symmetry_space_group_name_Hall 'I -4 -2'
loop_
_atom_site_label
_atom_site_type_symbol
_atom_site_fract_x
_atom_site_fract_y
_atom_site_fract_z
Y1 Y 0.000 0.000 0.000
Y2 Y 0.000 0.500 0.250
Ni1 Ni 0.000 0.000 0.500
Cl1 Cl 0.000 0.500 0.750
```